# 1
# La2ErAl12Fe3

An optimized crystal structure of La2ErAl12Fe3 (PBE, Alexandria via LeMat-Bulk).

Output
ΔE_f = 111 meV per atom

abc: 8.5493 8.5493 18.9557
angles: 90.00 90.00 120.00
Closest atoms and distances in Å follow each position.
Space group R-3m (No. 166, hexagonal axes)
Symmetry-distinct sites (fractional):
La 0.0000 0.0000 0.0815 (multiplicity 6)  1 La 3.09, 3 Al 3.15
Er 0.0000 0.0000 0.5000 (multiplicity 3)  12 Al 3.27-3.38
Al 0.0885 0.5443 0.8838 (multiplicity 18)  1 Fe 2.30
Al 0.1021 0.5511 0.3204 (multiplicity 18)  2 Fe 2.20
Fe 0.0000 0.5000 0.0000 (multiplicity 9)  6 Al 2.20-2.30

# 2
# NaHg2Cl

An optimized crystal structure of NaHg2Cl (PBE, Alexandria via LeMat-Bulk).

Output
offset from the most stable computed form = 0.125 eV per atom
E_form (uncorrected) = -485 meV per atom

abc: 7.7954 7.7954 7.7954
angles: 90.00 90.00 90.00
Closest atoms and distances in Å follow each position.
Space group Fm-3m (No. 225)
Symmetry-distinct sites (fractional):
Na 0.0000 0.0000 0.0000 (multiplicity 4)  8 Hg 3.38
Hg 0.2500 0.2500 0.2500 (multiplicity 8)  4 Cl 3.38, 4 Na 3.38
Cl 0.0000 0.0000 0.5000 (multiplicity 4)  8 Hg 3.38

# 3
# MgW4S8

An optimized crystal structure of MgW4S8 (PBE, Alexandria via LeMat-Bulk).

Output
E_form (uncorrected) = -556 meV per atom

abc: 6.4390 6.4390 20.5378
angles: 90.00 90.00 120.00
Closest atoms and distances in Å follow each position.
Space group R-3m (No. 166, hexagonal axes)
Symmetry-distinct sites (fractional):
Mg 0.0000 0.0000 0.0000 (multiplicity 3)  6 S 2.60
W 0.0000 0.0000 0.5000 (multiplicity 3)  6 S 2.46
W 0.0000 0.5000 0.5000 (multiplicity 9)  6 S 2.44-2.45
S 0.0000 0.0000 0.2434 (multiplicity 6)  3 W 2.44
S 0.0009 0.5004 0.7553 (multiplicity 18)  3 W 2.45-2.46, 1 Mg 2.60

# 4
# Co2BW2

An optimized crystal structure of Co2BW2 (PBE, Alexandria via LeMat-Bulk).

Output
offset from the most stable computed form = 1.100 eV per atom
ΔE_f = 1248 meV per atom

abc: 3.9327 3.9327 9.5023
angles: 90.00 90.00 90.00
Closest atoms and distances in Å follow each position.
Space group I4/mmm (No. 139)
Symmetry-distinct sites (fractional):
Co 0.0000 0.0000 0.1076 (multiplicity 4)  1 Co 2.04
B 0.0000 0.0000 0.5000 (multiplicity 2)  8 Co 2.96, 8 W 3.08
W 0.0000 0.5000 0.2500 (multiplicity 4)  4 Co 2.39

# 5
# SrRhCl

An optimized crystal structure of SrRhCl (PBE, Alexandria via LeMat-Bulk).

Output
offset from the most stable computed form = 0.726 eV per atom
E_form (uncorrected) = -470 meV per atom

abc: 4.0228 4.0228 9.5213
angles: 90.00 90.00 90.00
Closest atoms and distances in Å follow each position.
Space group I4mm (No. 107)
Symmetry-distinct sites (fractional):
Sr 0.0000 0.0000 0.0000 (multiplicity 2)  4 Rh 2.99, 5 Cl 3.18-3.35
Rh 0.0000 0.0000 0.4029 (multiplicity 2)  1 Cl 2.34
Cl 0.0000 0.0000 0.6482 (multiplicity 2)  1 Rh 2.34

# 6
# Sm2Dy5Y3

An optimized crystal structure of Sm2Dy5Y3 (PBE, Alexandria via LeMat-Bulk).

Output
ΔE_f = 200 meV per atom

abc: 10.6614 15.8486 9.4524
angles: 90.00 123.88 90.00
Closest atoms and distances in Å follow each position.
Space group C2/c (No. 15)
Symmetry-distinct sites (fractional):
Sm 0.1425 0.1290 0.0487 (multiplicity 8)  3 Y 3.18-3.49, 5 Dy 3.29-3.55
Dy 0.0000 0.2287 0.2500 (multiplicity 4)  5 Y 3.31-3.47, 2 Sm 3.41, 2 Dy 3.54
Dy 0.0000 0.2745 0.7500 (multiplicity 4)  1 Dy 3.13, 2 Sm 3.29
Dy 0.0000 0.4721 0.7500 (multiplicity 4)  1 Dy 3.13, 2 Y 3.33
Dy 0.2310 0.3762 0.2158 (multiplicity 8)  3 Y 3.44-3.63, 2 Sm 3.44-3.71, 3 Dy 3.54-3.60
Y 0.0000 0.0194 0.2500 (multiplicity 4)  3 Dy 3.32-3.53, 4 Sm 3.32-3.49, 2 Y 3.45
Y 0.1569 0.3774 0.5465 (multiplicity 8)  1 Sm 3.18, 5 Dy 3.31-3.51, 1 Y 3.45

| no. | size of the total moment (μB per cell) |
| --- | --- |
| 1 | 0.00 |
| 2 | 0.00 |
| 3 | 0.00 |
| 4 | 1.02 |
| 5 | 0.00 |
| 6 | 0.00 |